The following is a PBE+U calculation of FeS2ClO after structural relaxation, from the Alexandria database.

It has space group P4/mmm (No. 123), with a = 4.702 Å, b = 4.702 Å, c = 4.947 Å, α = 90.00°, β = 90.00° and γ = 90.00°. The inequivalent atoms are Fe at (0.000, 0.000, 0.000), S at (0.000, 0.500, 0.000), Cl at (0.000, 0.000, 0.500) and O at (0.500, 0.500, 0.500).

Its magnetization is 1.68 μB per atom. The calculation puts the energy above the most stable polymorph in this dataset at 194 meV/atom. The value obtained for the total energy is -3.3143 eV per atom.